Computed, not measured: a geometry-optimized SrTe2S structure at the PBE level of DFT.

Cell: 9.9327 9.9327 9.9327 Å, 23.93 23.93 23.93°
Closest atoms and distances in Å follow each position.
Sites, in units of the cell vectors:
Sr: 0.0000 0.0000 0.0000  2 Te 3.23
S: 0.5000 0.5000 0.5000  6 Te 2.86
Te: 0.8884 0.8884 0.8884  3 S 2.86
Te: 0.1116 0.1116 0.1116  3 S 2.86

Properties
**Energy relative to the elements, uncorrected**: 0.1752 eV per atom